# 1
# MnNiW2

An optimized crystal structure of MnNiW2 (PBEsol, Alexandria via LeMat-Bulk).

Lattice parameters (Å, degrees): 2.6973 4.5695 4.5559 99.81 90.00 107.17
Closest atoms and distances in Å follow each position.
Fractional positions:
1 Mn 0.4900 0.9801 0.5057  7 W 2.52-2.74, 3 Ni 2.57-2.81, 2 Mn 2.70
2 Ni 0.7563 0.5125 0.2382  7 W 2.55-2.70, 3 Mn 2.57-2.81, 2 Ni 2.70
3 W 0.0105 0.0210 0.0349  3 Ni 2.55-2.56, 4 Mn 2.57-2.74, 5 W 2.68-2.85
4 W 0.2432 0.4864 0.7212  3 Mn 2.52-2.63, 4 Ni 2.60-2.70, 3 W 2.68-2.70

Output
The calculation puts the spin magnetization at 1.04 μB per formula unit. Its space-group type is Cm (8). The volume is 13.198 Å³/atom. The crystal system is monoclinic. As for the final energy: -10.70 eV per atom. The value obtained for the excess energy over the best structure of this formula in the dataset is 28 meV/atom.

=====

# 2
# Mn2NiW

An optimized crystal structure of Mn2NiW (PBEsol, Alexandria via LeMat-Bulk).

Lattice parameters (Å, degrees): 2.6357 4.4146 4.3770 100.77 90.00 107.37
Closest atoms and distances in Å follow each position.
Fractional positions:
1 Mn 0.9914 0.9829 0.9723  5 Mn 2.43-2.64, 4 Ni 2.46-2.66, 3 W 2.59-2.65
2 Mn 0.2520 0.5040 0.7627  5 Mn 2.43-2.64, 3 Ni 2.53-2.60, 4 W 2.55-2.56
3 Ni 0.5054 0.0108 0.5042  7 Mn 2.46-2.66, 3 W 2.51-2.56, 2 Ni 2.64
4 W 0.7512 0.5024 0.2609  3 Ni 2.51-2.56, 7 Mn 2.55-2.65, 2 W 2.64

Output
The calculation puts the spin magnetization at 0.19 μB per formula unit. Its space-group type is Cm (8). The volume is 11.917 Å³/atom. The crystal system is monoclinic. As for the final energy: -9.69 eV per atom.

=====

# 3
# YMn2Ni

An optimized crystal structure of YMn2Ni (PBEsol, Alexandria via LeMat-Bulk).

Lattice parameters (Å, degrees): 2.9532 2.9532 8.8372 80.38 80.38 60.00
Closest atoms and distances in Å follow each position.
Fractional positions:
1 Mn 0.2353 0.2353 0.2940  3 Ni 2.47
2 Mn 0.7647 0.7647 0.7060  3 Ni 2.47
3 Ni 0.5000 0.5000 0.5000  6 Mn 2.47
4 Y 0.0000 0.0000 0.0000  6 Y 2.95, 6 Mn 3.07

Output
The calculation puts the spin magnetization at 7.69 μB per formula unit. Its space-group type is R-3m (166). The volume is 16.373 Å³/atom. The crystal system is trigonal. As for the final energy: -7.50 eV per atom.

=====

# 4
# YMn2Ni

An optimized crystal structure of YMn2Ni (PBEsol, Alexandria via LeMat-Bulk).

Lattice parameters (Å, degrees): 3.8536 3.8536 4.1340 90.00 90.00 90.00
Closest atoms and distances in Å follow each position.
Fractional positions:
1 Mn 0.0000 0.5000 0.0000  4 Mn 2.72, 4 Ni 2.83, 4 Y 2.83
2 Mn 0.5000 0.0000 0.0000  4 Mn 2.72, 4 Ni 2.83, 4 Y 2.83
3 Ni 0.5000 0.5000 0.5000  4 Y 2.72, 8 Mn 2.83
4 Y 0.0000 0.0000 0.5000  4 Ni 2.72, 8 Mn 2.83

Output
The calculation puts the spin magnetization at 6.62 μB per formula unit. Its space-group type is P4/mmm (123). The volume is 15.348 Å³/atom. The crystal system is tetragonal. As for the final energy: -7.85 eV per atom.

=====

# 5
# YMnNi4

An optimized crystal structure of YMnNi4 (PBEsol, Alexandria via LeMat-Bulk).

Lattice parameters (Å, degrees): 4.8206 4.8206 4.8206 60.00 60.00 60.00
Closest atoms and distances in Å follow each position.
Fractional positions:
1 Mn 0.0000 0.0000 0.0000  12 Ni 2.82, 4 Y 2.95
2 Ni 0.6260 0.1220 0.6260  6 Ni 2.39-2.43
3 Ni 0.6260 0.6260 0.6260  6 Ni 2.39-2.43
4 Ni 0.6260 0.6260 0.1220  6 Ni 2.39-2.43
5 Ni 0.1220 0.6260 0.6260  6 Ni 2.39-2.43
6 Y 0.2500 0.2500 0.2500  12 Ni 2.83, 4 Mn 2.95

Output
The calculation puts the spin magnetization at 5.42 μB per formula unit. Its space-group type is F-43m (216). The volume is 13.202 Å³/atom. The crystal system is cubic. As for the final energy: -7.10 eV per atom.

=====

# 6
# MnZn2Ni

An optimized crystal structure of MnZn2Ni (PBEsol, Alexandria via LeMat-Bulk).

Lattice parameters (Å, degrees): 2.6706 3.4577 5.3007 90.00 90.00 90.00
Closest atoms and distances in Å follow each position.
Fractional positions:
1 Ni 0.5000 0.5000 0.5000  8 Zn 2.53, 2 Mn 2.65, 2 Ni 2.67
2 Zn 0.0000 0.0000 0.7396  4 Ni 2.53, 4 Zn 2.54-2.76, 4 Mn 2.58
3 Zn 0.0000 0.0000 0.2604  4 Ni 2.53, 4 Zn 2.54-2.76, 4 Mn 2.58
4 Mn 0.5000 0.5000 0.0000  8 Zn 2.58, 2 Ni 2.65, 2 Mn 2.67

Output
The calculation puts the spin magnetization at 3.22 μB per formula unit. Its space-group type is Pmmm (47). The volume is 12.237 Å³/atom. The crystal system is orthorhombic. As for the final energy: -4.82 eV per atom.

=====

# 7
# MnZn2Ni

An optimized crystal structure of MnZn2Ni (PBEsol, Alexandria via LeMat-Bulk).

Lattice parameters (Å, degrees): 3.8757 4.2574 3.8757 62.92 90.00 117.08
Closest atoms and distances in Å follow each position.
Fractional positions:
1 Ni 0.7500 0.5000 0.7500  4 Mn 2.53, 8 Zn 2.53-2.74
2 Zn 0.0000 0.0000 0.0000  4 Zn 2.53, 4 Ni 2.53, 4 Mn 2.74
3 Zn 0.2500 0.5000 0.2500  4 Mn 2.53, 4 Zn 2.53, 4 Ni 2.74
4 Mn 0.5000 0.0000 0.5000  4 Ni 2.53, 8 Zn 2.53-2.74

Output
The calculation puts the spin magnetization at 3.35 μB per formula unit. Its space-group type is I-4m2 (119). The volume is 12.235 Å³/atom. The crystal system is tetragonal. As for the final energy: -4.81 eV per atom.

=====

# 8
# MnZn2Ni

An optimized crystal structure of MnZn2Ni (PBEsol, Alexandria via LeMat-Bulk).

Lattice parameters (Å, degrees): 2.7042 2.7042 6.6323 90.00 90.00 90.00
Closest atoms and distances in Å follow each position.
Fractional positions:
1 Ni 0.5000 0.5000 0.5000  8 Zn 2.47, 4 Ni 2.70
2 Zn 0.0000 0.0000 0.7367  4 Ni 2.47, 4 Mn 2.59, 4 Zn 2.70
3 Zn 0.0000 0.0000 0.2633  4 Ni 2.47, 4 Mn 2.59, 4 Zn 2.70
4 Mn 0.5000 0.5000 0.0000  8 Zn 2.59, 4 Mn 2.70

Output
The calculation puts the spin magnetization at 2.84 μB per formula unit. Its space-group type is P4/mmm (123). The volume is 12.125 Å³/atom. The crystal system is tetragonal. As for the final energy: -4.83 eV per atom.

=====

ΔH_f (0 K) for the records above, in order: 0.18 0.18 0.63 0.27 -0.23 -0.05 -0.04 -0.06 eV/atom